PBE-GGA Rb2HgSeF, optimized geometry; DOS at the Fermi energy = 1.019 states/eV per cell; M_tot = 0.000 μB/atom; formation energy without anion corrections = -1021 meV per atom; VASP energy = -2.540 eV per atom; space group = P4/mmm, No. 123
1.0
-4.925 2.475 0.900
-1.310 -0.823 -4.907
-2.217 -4.927 1.418
Rb Hg Se F
2 1 1 1
Direct
0.500 0.000 0.000 Rb
0.000 0.000 0.500 Rb
0.500 0.500 0.500 Hg
0.000 0.500 0.000 Se
0.000 0.000 0.000 F

PBE-GGA Rb2SiHgF, optimized geometry; DOS at the Fermi energy = 2.707 states/eV per cell; M_tot = 0.312 μB/atom; formation energy without anion corrections = -551 meV per atom; VASP energy = -2.457 eV per atom; space group = P4/mmm, No. 123
1.0
-1.602 4.869 -1.064
-2.268 0.453 5.490
4.568 1.882 1.732
Hg Rb Si F
1 2 1 1
Direct
0.000 0.500 0.000 Hg
0.000 0.000 0.500 Rb
0.500 0.000 0.000 Rb
0.500 0.500 0.500 Si
0.000 0.000 0.000 F

PBE-GGA RbSiHgF6, optimized geometry; DOS at the Fermi energy = 2.895 states/eV per cell; M_tot = 0.082 μB/atom; formation energy without anion corrections = -2597 meV per atom; VASP energy = -4.589 eV per atom; space group = C2, No. 5
1.0
6.150 0.008 0.001
3.082 5.322 -0.001
0.001 -0.002 5.183
F Si Rb Hg
6 1 1 1
Direct
0.332 0.563 0.308 F
0.331 0.106 0.692 F
0.104 0.564 0.691 F
0.563 0.332 0.692 F
0.106 0.331 0.308 F
0.564 0.104 0.309 F
0.333 0.333 0.500 Si
0.000 0.000 0.000 Rb
0.666 0.666 0.500 Hg

PBE-GGA Rb2SiHgF6, optimized geometry; DOS at the Fermi energy = 0.000 states/eV per cell; M_tot = 0.000 μB/atom; formation energy without anion corrections = -2741 meV per atom; VASP energy = -4.630 eV per atom; space group = Fm-3m, No. 225
1.0
6.615 0.000 0.000
0.000 6.615 0.000
3.308 3.308 4.678
F Rb Si Hg
6 2 1 1
Direct
0.316 0.316 0.368 F
0.684 0.684 0.000 F
0.684 0.684 0.632 F
0.684 0.316 0.000 F
0.316 0.684 0.000 F
0.316 0.316 0.000 F
0.750 0.250 0.500 Rb
0.250 0.750 0.500 Rb
0.500 0.500 0.000 Si
0.000 0.000 0.000 Hg

PBE-GGA RbSmHgF6, optimized geometry; DOS at the Fermi energy = 0.000 states/eV per cell; M_tot = 0.000 μB/atom; formation energy without anion corrections = -2881 meV per atom; VASP energy = -4.794 eV per atom; space group = P-31c, No. 163
1.0
-5.468 -3.169 -0.217
4.523 -1.202 -4.254
4.246 -7.788 6.716
Sm F Rb Hg
2 12 2 2
Direct
0.667 0.333 0.250 Sm
0.333 0.667 0.750 Sm
0.620 0.630 0.644 F
0.990 0.620 0.356 F
0.630 0.010 0.356 F
0.630 0.620 0.144 F
0.380 0.370 0.356 F
0.620 0.990 0.856 F
0.010 0.630 0.856 F
0.990 0.370 0.144 F
0.010 0.380 0.644 F
0.370 0.380 0.856 F
0.380 0.010 0.144 F
0.370 0.990 0.644 F
0.000 0.000 0.000 Rb
0.000 0.000 0.500 Rb
0.667 0.333 0.750 Hg
0.333 0.667 0.250 Hg

PBE-GGA Rb2SnHgF6, optimized geometry; DOS at the Fermi energy = 0.000 states/eV per cell; M_tot = 0.000 μB/atom; formation energy without anion corrections = -2233 meV per atom; VASP energy = -3.980 eV per atom; space group = Fm-3m, No. 225
1.0
6.607 0.000 0.000
0.000 6.607 0.000
3.304 3.304 4.673
F Rb Sn Hg
6 2 1 1
Direct
0.747 0.747 0.000 F
0.253 0.253 0.494 F
0.253 0.747 0.000 F
0.253 0.253 0.000 F
0.747 0.253 0.000 F
0.747 0.747 0.506 F
0.750 0.250 0.500 Rb
0.250 0.750 0.500 Rb
0.500 0.500 0.000 Sn
0.000 0.000 0.000 Hg

PBE-GGA RbSrHgF6, optimized geometry; DOS at the Fermi energy = 1.917 states/eV per cell; M_tot = 0.108 μB/atom; formation energy without anion corrections = -2446 meV per atom; VASP energy = -4.021 eV per atom; space group = Imma, No. 74
1.0
-6.531 2.647 3.380
3.093 -1.890 7.457
3.925 4.617 -5.067
Hg F Rb Sr
2 12 2 2
Direct
0.500 0.000 0.000 Hg
0.500 0.500 0.000 Hg
0.879 0.129 0.759 F
0.444 0.601 0.272 F
0.121 0.871 0.241 F
0.556 0.829 0.728 F
0.444 0.171 0.272 F
0.827 0.601 0.272 F
0.173 0.399 0.728 F
0.173 0.829 0.728 F
0.390 0.140 0.781 F
0.827 0.171 0.272 F
0.610 0.860 0.219 F
0.556 0.399 0.728 F
0.861 0.611 0.721 Rb
0.139 0.389 0.279 Rb
0.000 0.000 0.500 Sr
0.500 0.000 0.500 Sr

PBE-GGA Rb3SrHg2F9, optimized geometry; DOS at the Fermi energy = 0.000 states/eV per cell; M_tot = 0.000 μB/atom; formation energy without anion corrections = -2453 meV per atom; VASP energy = -3.922 eV per atom; space group = P-3m1, No. 164
1.0
-0.372 4.688 4.606
-5.072 -4.087 -0.953
3.143 -5.191 5.537
Hg Rb F Sr
2 3 9 1
Direct
0.667 0.333 0.831 Hg
0.333 0.667 0.169 Hg
0.333 0.667 0.710 Rb
0.000 0.000 0.000 Rb
0.667 0.333 0.290 Rb
0.328 0.164 0.679 F
0.672 0.836 0.321 F
0.500 0.000 0.000 F
0.836 0.672 0.679 F
0.500 0.500 0.000 F
0.836 0.164 0.679 F
0.164 0.836 0.321 F
0.164 0.328 0.321 F
0.000 0.500 0.000 F
0.000 0.000 0.500 Sr

PBE-GGA RbTcHg2F8, optimized geometry; DOS at the Fermi energy = 3.483 states/eV per cell; M_tot = 0.203 μB/atom; formation energy without anion corrections = -1840 meV per atom; VASP energy = -4.082 eV per atom; space group = P-1, No. 2
1.0
4.908 -0.272 0.000
-0.290 5.652 -0.002
0.007 0.014 7.735
Hg Rb F Tc
2 1 8 1
Direct
0.501 0.500 0.251 Hg
0.499 0.500 0.749 Hg
0.000 0.000 0.500 Rb
0.112 0.787 0.819 F
0.890 0.213 0.819 F
0.351 0.208 0.000 F
0.513 0.265 0.500 F
0.888 0.213 0.181 F
0.110 0.787 0.181 F
0.487 0.735 0.500 F
0.649 0.792 0.000 F
0.000 0.000 0.000 Tc

PBE-GGA Rb2HgTeF6, optimized geometry; DOS at the Fermi energy = 0.000 states/eV per cell; M_tot = 0.000 μB/atom; formation energy without anion corrections = -2128 meV per atom; VASP energy = -3.788 eV per atom; space group = Fm-3m, No. 225
1.0
7.093 0.000 0.000
0.000 7.093 0.000
3.546 3.546 5.015
Te F Hg Rb
1 6 1 2
Direct
0.500 0.500 0.000 Te
0.709 0.709 0.583 F
0.709 0.291 0.000 F
0.291 0.709 0.000 F
0.291 0.291 0.417 F
0.291 0.291 0.000 F
0.709 0.709 0.000 F
0.000 0.000 0.000 Hg
0.750 0.250 0.500 Rb
0.250 0.750 0.500 Rb

PBE-GGA Rb2TiHgF6, optimized geometry; DOS at the Fermi energy = 0.000 states/eV per cell; M_tot = 0.000 μB/atom; formation energy without anion corrections = -2837 meV per atom; VASP energy = -4.972 eV per atom; space group = Fm-3m, No. 225
1.0
6.824 0.000 0.000
0.000 6.824 0.000
3.412 3.412 4.826
Rb F Ti Hg
2 6 1 1
Direct
0.250 0.750 0.500 Rb
0.750 0.250 0.500 Rb
0.696 0.304 0.000 F
0.696 0.696 0.608 F
0.304 0.304 0.392 F
0.696 0.696 0.000 F
0.304 0.696 0.000 F
0.304 0.304 0.000 F
0.500 0.500 0.000 Ti
0.000 0.000 0.000 Hg

PBE-GGA Rb2TiHgF, optimized geometry; DOS at the Fermi energy = 5.412 states/eV per cell; M_tot = 0.453 μB/atom; formation energy without anion corrections = -452 meV per atom; VASP energy = -2.853 eV per atom; space group = P4/mmm, No. 123
1.0
7.379 0.000 0.000
0.000 3.959 0.000
0.000 0.000 7.379
F Rb Hg Ti
1 2 1 1
Direct
0.000 0.500 0.000 F
0.500 0.000 0.000 Rb
0.000 0.000 0.500 Rb
0.500 0.500 0.500 Hg
0.000 0.000 0.000 Ti